1.
A relaxed Yb2SO2 crystal, computed with PBE-GGA.

Cell and atoms, written as CIF:
```
data_Yb2SO2
_chemical_formula_sum 'Yb2 S1 O2'
_symmetry_space_group_name_H-M 'P 6/m m m'
_symmetry_Int_Tables_number 191
_symmetry_space_group_name_Hall '-P 6 2'
_cell_length_a 5.5069
_cell_length_b 5.5069
_cell_length_c 4.0917
_cell_angle_alpha 90.00
_cell_angle_beta 90.00
_cell_angle_gamma 120.00
loop_
_atom_site_label
_atom_site_type_symbol
_atom_site_fract_x
_atom_site_fract_y
_atom_site_fract_z
_atom_site_occupancy
Yb1 Yb 0.3333 0.6667 0.0000 1
S1 S 0.0000 0.0000 0.0000 1
O1 O 0.3333 0.6667 0.5000 1
```

2.
A relaxed Yb2SO2 crystal, computed with PBE-GGA.

Cell and atoms, written as CIF:
```
data_Yb2SO2
_chemical_formula_sum 'Yb2 S1 O2'
_symmetry_space_group_name_H-M 'P -3 m 1'
_symmetry_Int_Tables_number 164
_symmetry_space_group_name_Hall '-P 3 2"'
_cell_length_a 3.7906
_cell_length_b 3.7906
_cell_length_c 6.6763
_cell_angle_alpha 90.00
_cell_angle_beta 90.00
_cell_angle_gamma 120.00
loop_
_atom_site_label
_atom_site_type_symbol
_atom_site_fract_x
_atom_site_fract_y
_atom_site_fract_z
_atom_site_occupancy
Yb1 Yb 0.3333 0.6667 0.2860 1
S1 S 0.0000 0.0000 0.0000 1
O1 O 0.3333 0.6667 0.6328 1
```

3.
A relaxed Yb2S2O crystal, computed with PBE-GGA.

Cell and atoms, written as CIF:
```
data_Yb2S2O
_chemical_formula_sum 'Yb8 S8 O4'
_symmetry_space_group_name_H-M 'P 1 21/c 1'
_symmetry_Int_Tables_number 14
_cell_length_a 7.8001
_cell_length_b 7.1661
_cell_length_c 7.4552
_cell_angle_alpha 90.00
_cell_angle_beta 100.49
_cell_angle_gamma 90.00
loop_
_symmetry_equiv_pos_as_xyz
'x,y,z'
'-x,-y,-z'
'-x,y+1/2,-z+1/2'
'x,-y+1/2,z+1/2'
loop_
_atom_site_label
_atom_site_type_symbol
_atom_site_fract_x
_atom_site_fract_y
_atom_site_fract_z
_atom_site_occupancy
Yb1 Yb 0.0784 0.1623 0.3506 1
Yb2 Yb 0.3881 0.5095 0.2452 1
S1 S 0.1282 0.5593 0.5412 1
S2 S 0.4735 0.2343 0.4869 1
O1 O 0.1215 0.0781 0.6472 1
```

4.
A relaxed Zn3SO3 crystal, computed with PBE-GGA.

Cell and atoms, written as CIF:
```
data_Zn3SO3
_chemical_formula_sum 'Zn6 S2 O6'
_symmetry_space_group_name_H-M 'P m -3 n'
_symmetry_Int_Tables_number 223
_symmetry_space_group_name_Hall '-P 4n 2 3'
_cell_length_a 5.7220
_cell_length_b 5.7220
_cell_length_c 5.7220
_cell_angle_alpha 90.00
_cell_angle_beta 90.00
_cell_angle_gamma 90.00
loop_
_atom_site_label
_atom_site_type_symbol
_atom_site_fract_x
_atom_site_fract_y
_atom_site_fract_z
_atom_site_occupancy
Zn1 Zn 0.0000 0.2500 0.5000 1
S1 S 0.0000 0.0000 0.0000 1
O1 O 0.0000 0.5000 0.2500 1
```

Calculated energy relative to the elements, uncorrected (eV per atom), listed in the same order as above: -1.291, -2.457, -2.062, -0.781